Record 1
Here is an optimized crystal structure of LiCrGa2Os from Alexandria. Energies are from PBE.

Geometry as POSCAR:
```
LiCrGa2Os
1.0
4.6990 0.0000 0.0000
0.0000 4.5535 0.0000
0.0000 0.0000 4.6990
Ga Li Cr Os
2 1 1 1
Cartesian
2.3495 0.0000 0.0000
0.0000 0.0000 2.3495
0.0000 2.2768 0.0000
2.3495 2.2768 2.3495
0.0000 0.0000 0.0000
```

ΔE to the lowest computed polymorph in eV/atom: 0.0000
DFT total energy in eV/atom: -4.68
ΔH_f (0 K) in eV/atom: 1.080



Record 2
Here is an optimized crystal structure of LiCrGaPd from Alexandria. Energies are from PBE.

Geometry as POSCAR:
```
LiCrGaPd
1.0
4.2957 0.0000 0.0000
2.1479 3.7202 0.0000
2.1479 1.2401 3.5074
Li Ga Pd Cr
1 1 1 1
Cartesian
6.4436 3.7202 2.6306
2.1479 1.2401 0.8769
4.2957 2.4801 1.7537
0.0000 0.0000 0.0000
```

DFT total energy in eV/atom: -5.20
ΔH_f (0 K) in eV/atom: -0.257



Record 3
Here is an optimized crystal structure of LiCr4GaS8 from Alexandria. Energies are from PBE.

Geometry as POSCAR:
```
LiCr4GaS8
1.0
7.1122 0.0000 0.0000
3.5561 6.1593 0.0000
3.5561 2.0531 5.8071
S Ga Cr Li
8 1 4 1
Cartesian
7.1122 2.2102 3.5739
3.5561 2.0531 3.4257
1.9444 1.1226 0.7938
5.4702 5.0542 3.5739
5.1678 1.1226 0.7938
3.5561 3.9141 0.7938
7.1122 4.1062 0.8926
8.7541 5.0542 3.5739
10.6683 6.1593 4.3553
7.1122 6.2264 2.1539
5.2760 3.0461 2.1539
7.1122 4.1062 5.1524
8.9483 3.0461 2.1539
0.0000 0.0000 0.0000
```

E_form (uncorrected) in meV per atom: -803
DFT total energy in eV/atom: -6.26



Record 4
Here is an optimized crystal structure of LiCr2GaSe from Alexandria. Energies are from PBE.

Geometry as POSCAR:
```
LiCr2GaSe
1.0
-4.3959 1.6174 -0.6430
-1.2614 -4.0615 -1.5923
-1.1422 -1.3628 4.3808
Cr Li Ga Se
2 1 1 1
Cartesian
-2.1980 0.8087 -0.3215
-0.5711 -0.6814 2.1904
-0.6307 -2.0307 -0.7962
0.0000 0.0000 0.0000
-3.3998 -1.9034 1.0727
```

E_form (uncorrected) in meV per atom: 578
ΔE to the lowest computed polymorph in eV/atom: 0.0000
DFT total energy in eV/atom: -4.96



Record 5
Here is an optimized crystal structure of LiCr2GaSe from Alexandria. Energies are from PBE.

Geometry as POSCAR:
```
LiCr2GaSe
1.0
-0.5609 0.3889 4.7653
2.5921 -3.4198 0.5842
3.8154 2.9279 0.2101
Ga Li Cr Se
1 1 2 1
Cartesian
2.9233 -0.0515 2.7798
0.0000 0.0000 0.0000
-0.2804 0.1945 2.3827
1.9077 1.4640 0.1050
1.2961 -1.7099 0.2921
```

E_form (uncorrected) in meV per atom: 726
ΔE to the lowest computed polymorph in eV/atom: 0.1488
DFT total energy in eV/atom: -4.81



Record 6
Here is an optimized crystal structure of LiCrGaSn from Alexandria. Energies are from PBE.

Geometry as POSCAR:
```
LiCrGaSn
1.0
4.5939 0.0000 0.0000
2.2969 3.9784 0.0000
2.2969 1.3261 3.7509
Ga Sn Cr Li
1 1 1 1
Cartesian
6.8908 3.9784 2.8132
2.2969 1.3261 0.9377
0.0000 0.0000 0.0000
4.5939 2.6523 1.8754
```

DFT total energy in eV/atom: -4.70
ΔH_f (0 K) in eV/atom: -0.055



Record 7
Here is an optimized crystal structure of Sr2LiCrGa from Alexandria. Energies are from PBE.

Geometry as POSCAR:
```
Sr2LiCrGa
1.0
5.9544 0.0000 0.0000
0.0000 4.6617 0.0000
0.0000 0.0000 5.9544
Sr Cr Li Ga
2 1 1 1
Cartesian
2.9772 0.0000 0.0000
0.0000 0.0000 2.9772
0.0000 2.3309 0.0000
0.0000 0.0000 0.0000
2.9772 2.3309 2.9772
```

DFT total energy in eV/atom: -3.02
ΔH_f (0 K) in eV/atom: 0.563



Record 8
Here is an optimized crystal structure of LiCrGaTc2 from Alexandria. Energies are from PBE.

Geometry as POSCAR:
```
LiCrGaTc2
1.0
-0.5559 0.1550 4.3972
3.0425 -3.5679 0.5104
3.3430 2.8965 0.3205
Ga Li Cr Tc
1 1 1 2
Cartesian
1.5212 -1.7839 0.2552
2.9148 -0.2582 2.6141
0.0000 0.0000 0.0000
-0.2779 0.0775 2.1986
1.6715 1.4483 0.1603
```

DFT total energy in eV/atom: -6.15
ΔH_f (0 K) in eV/atom: 0.906



Record 9
Here is an optimized crystal structure of LuCrGa2 from Alexandria. Energies are from PBE.

Geometry as POSCAR:
```
LuCrGa2
1.0
3.3336 0.0000 0.0000
1.6668 2.8870 0.0000
1.6668 0.9623 8.1440
Cr Ga Lu
1 2 1
Cartesian
0.0000 0.0000 0.0000
5.0005 2.8870 6.3450
1.6668 0.9623 1.7989
3.3336 1.9247 4.0720
```

DFT total energy in eV/atom: -5.03
ΔH_f (0 K) in eV/atom: 0.018



Record 10
Here is an optimized crystal structure of MgCrGa2 from Alexandria. Energies are from PBE.

Geometry as POSCAR:
```
MgCrGa2
1.0
2.9969 0.0000 0.0000
0.0000 2.9969 0.0000
0.0000 0.0000 7.2939
Mg Cr Ga
1 1 2
Cartesian
1.4984 1.4984 3.6470
1.4984 1.4984 0.0000
0.0000 0.0000 5.7059
0.0000 0.0000 1.5881
```

DFT total energy in eV/atom: -4.30
ΔH_f (0 K) in eV/atom: 0.020



Record 11
Here is an optimized crystal structure of MgCr2Ga2 from Alexandria. Energies are from PBE.

Geometry as POSCAR:
```
MgCr2Ga2
1.0
4.0465 0.0000 0.0000
0.0000 4.0465 0.0000
2.0233 2.0233 5.0334
Cr Ga Mg
2 2 1
Cartesian
2.0233 2.0233 0.9189
4.0465 4.0465 4.1144
4.0465 2.0233 2.5167
2.0233 4.0465 2.5167
0.0000 0.0000 0.0000
```

DFT total energy in eV/atom: -5.03
ΔH_f (0 K) in eV/atom: 0.350



Record 12
Here is an optimized crystal structure of Mg14CrGa from Alexandria. Energies are from PBE.

Geometry as POSCAR:
```
Mg14CrGa
1.0
3.1426 -5.4432 0.0000
3.1426 5.4432 0.0000
0.0000 0.0000 10.1387
Mg Ga Cr
14 1 1
Cartesian
3.1426 3.6693 7.6203
3.1426 -1.8144 2.5294
4.7490 0.8869 7.6203
3.1426 0.0058 0.0000
1.5362 0.8869 7.6203
3.1426 -1.8144 7.6093
3.1426 3.6693 2.5183
1.5362 0.8869 2.5183
4.7089 2.7187 0.0000
1.5764 2.7187 0.0000
4.7055 -2.7167 5.0693
4.7490 0.8869 2.5183
1.5797 -2.7167 5.0693
3.1426 -0.0097 5.0693
0.0000 0.0000 5.0693
0.0000 0.0000 0.0000
```

ΔE to the lowest computed polymorph in eV/atom: 0.0037
DFT total energy in eV/atom: -2.14
ΔH_f (0 K) in eV/atom: 0.049



Record 13
Here is an optimized crystal structure of Mg6CrGa from Alexandria. Energies are from PBE.

Geometry as POSCAR:
```
Mg6CrGa
1.0
-5.6026 2.6176 -0.0959
0.9973 -5.0539 3.4224
1.2625 2.8424 3.8295
Mg Cr Ga
6 1 1
Cartesian
-1.0629 1.4894 2.4227
-3.3980 0.0550 1.0794
-0.6184 -1.2643 1.1423
-3.8643 2.7519 2.4091
-2.8787 -2.4601 2.7750
-3.4203 0.2422 4.1255
-0.1414 -3.7303 2.8154
-0.5122 -1.1444 4.1960
```

ΔE to the lowest computed polymorph in eV/atom: 0.0000
DFT total energy in eV/atom: -2.70
ΔH_f (0 K) in eV/atom: 0.080



Record 14
Here is an optimized crystal structure of MgCrGa2 from Alexandria. Energies are from PBE.

Geometry as POSCAR:
```
MgCrGa2
1.0
2.9623 0.0000 0.0000
1.4811 2.5654 0.0000
1.4811 0.8551 8.7106
Mg Ga Cr
1 2 1
Cartesian
2.9623 1.7103 4.3553
4.4434 2.5654 6.7199
1.4811 0.8551 1.9907
0.0000 0.0000 0.0000
```

DFT total energy in eV/atom: -4.22
ΔH_f (0 K) in eV/atom: 0.093



Record 15
Here is an optimized crystal structure of Mg2CrGa from Alexandria. Energies are from PBE.

Geometry as POSCAR:
```
Mg2CrGa
1.0
-3.6641 -5.5299 -3.1570
1.8183 -4.3993 5.5957
-3.1311 -4.2375 2.5086
Cr Mg Ga
2 4 2
Cartesian
-1.1179 -6.8007 4.6618
-0.9229 -4.9646 1.2194
-3.9545 -11.8877 4.0428
-3.0494 -6.8800 2.7686
-2.8635 -5.0926 -0.6619
-0.0864 -4.4731 3.7453
-3.8591 -7.3660 0.2855
0.0000 0.0000 0.0000
```

DFT total energy in eV/atom: -3.31
ΔH_f (0 K) in eV/atom: 0.647



Record 16
Here is an optimized crystal structure of MgCr3Ga from Alexandria. Energies are from PBE.

Geometry as POSCAR:
```
MgCr3Ga
1.0
4.9529 0.0000 0.0000
0.0000 4.9529 0.0000
0.0000 0.0000 4.9529
Cr Mg Ga
3 1 1
Cartesian
0.0000 0.0000 2.4764
0.0000 2.4764 0.0000
2.4764 0.0000 0.0000
0.0000 0.0000 0.0000
2.4764 2.4764 2.4764
```

ΔE to the lowest computed polymorph in eV/atom: 0.6454
DFT total energy in eV/atom: -5.03
ΔH_f (0 K) in eV/atom: 1.669



Record 17
Here is an optimized crystal structure of MgCr3Ga from Alexandria. Energies are from PBE.

Geometry as POSCAR:
```
MgCr3Ga
1.0
4.7533 0.0000 0.0000
0.0000 4.7533 0.0000
0.0000 0.0000 4.7533
Cr Ga Mg
3 1 1
Cartesian
2.3767 0.0000 0.0000
0.0000 2.3767 0.0000
0.0000 0.0000 2.3767
0.0000 0.0000 0.0000
2.3767 2.3767 2.3767
```

ΔE to the lowest computed polymorph in eV/atom: 0.0000
DFT total energy in eV/atom: -5.67
ΔH_f (0 K) in eV/atom: 1.024



Record 18
Here is an optimized crystal structure of Mg14CrGa from Alexandria. Energies are from PBE.

Geometry as POSCAR:
```
Mg14CrGa
1.0
3.3345 4.9939 1.7524
-4.6943 -2.0200 3.6072
6.4747 -6.0844 5.0189
Mg Cr Ga
14 1 1
Cartesian
-0.3564 2.8096 3.8659
3.6002 -1.6780 3.6952
3.0545 -2.8562 7.8867
2.3193 1.1209 3.6439
2.9247 -0.2007 6.3575
-0.0136 0.0270 5.5084
0.3232 1.3233 1.1872
3.7384 -4.3518 5.1912
2.0056 3.8330 2.0594
-1.7159 -2.3916 4.5691
5.5004 -1.8685 6.1097
0.6703 -1.4687 2.8129
1.4791 -5.3941 7.0457
-2.0110 0.3242 2.9873
5.2298 0.7793 4.5719
1.2210 -2.7228 5.4980
```

ΔE to the lowest computed polymorph in eV/atom: 0.0000
DFT total energy in eV/atom: -2.14
ΔH_f (0 K) in eV/atom: 0.045



Record 19
Here is an optimized crystal structure of MgCrGa2 from Alexandria. Energies are from PBE.

Geometry as POSCAR:
```
MgCrGa2
1.0
-6.0020 2.3952 2.7622
-0.7617 -6.0123 3.5584
-1.9663 -0.7240 5.2957
Ga Cr Mg
4 2 2
Cartesian
-3.9919 -1.7476 6.2521
-4.4897 0.6249 3.5649
-1.5662 -3.6998 3.8234
-7.4122 -3.8599 9.5922
-5.6751 -0.0687 5.6091
0.0000 0.0000 0.0000
-3.3818 -1.8086 3.1603
-3.0549 -4.2724 6.0072
```

DFT total energy in eV/atom: -3.86
ΔH_f (0 K) in eV/atom: 0.461



Record 20
Here is an optimized crystal structure of Mg6CrGa from Alexandria. Energies are from PBE.

Geometry as POSCAR:
```
Mg6CrGa
1.0
3.0729 -5.3366 0.0000
3.0729 5.3366 0.0000
0.0000 0.0000 4.9966
Ga Mg Cr
1 6 1
Cartesian
3.0729 1.7754 2.4983
3.0729 -1.8220 0.0000
1.5188 0.9219 0.0000
4.6017 -0.8894 2.4983
4.6269 0.9219 0.0000
1.5440 -0.8894 2.4983
3.0729 3.5333 0.0000
3.0729 -3.5516 2.4983
```

ΔE to the lowest computed polymorph in eV/atom: 0.0062
DFT total energy in eV/atom: -2.69
ΔH_f (0 K) in eV/atom: 0.086